<w>
Material: Tb6Pb2N
Method: DFT, PBE-GGA
State: relaxed

Cell lengths 14.8176, 6.9284, 5.6446 Å; angles 90.00, 112.24, 90.00 degrees
With the nearest neighbours (Å) after each atom.
Space group C2/m (No. 12)
One atom of each set of equivalent atoms:
Tb  0.0000  0.2474  0.0000 [4 per cell]  2 Pb 3.11, 5 Tb 3.28-3.43, 2 N 3.32
Tb  0.1223  0.2541  0.6214 [8 per cell]  1 N 2.39
Pb  0.1888  0.0000  0.1872 [4 per cell]  8 Tb 3.10-3.45
N  0.0000  0.5000  0.5000 [2 per cell]  4 Tb 2.39

<x>
Material: Tb6Pb2N
Method: DFT, PBE-GGA
State: relaxed

Cell lengths 9.8081, 9.8081, 9.8081 Å; angles 90.00, 90.00, 90.00 degrees
With the nearest neighbours (Å) after each atom.
Space group Fm-3m (No. 225)
One atom of each set of equivalent atoms:
Tb  0.0000  0.0000  0.2445 [24 per cell]  1 N 2.40
Pb  0.2500  0.2500  0.2500 [8 per cell]  12 Tb 3.47
N  0.0000  0.0000  0.0000 [4 per cell]  6 Tb 2.40

Energy comparison, zero being the most stable, in eV/atom: <w> 0.460; <x> 0.000.